Compound: GaSnMo2
Source: the Alexandria database
Functional: GGA-PBE
Structure: relaxed

Lattice parameters (Å, degrees): 6.4628 6.4628 6.4628 90.00 90.00 90.00
Fractional coordinates of all 16 atoms:
Ga 0.0000 0.0000 0.0000
Ga 0.0000 0.5000 0.5000
Ga 0.5000 0.0000 0.5000
Ga 0.5000 0.5000 0.0000
Sn 0.0000 0.0000 0.5000
Sn 0.0000 0.5000 0.0000
Sn 0.5000 0.0000 0.0000
Sn 0.5000 0.5000 0.5000
Mo 0.2500 0.2500 0.2500
Mo 0.2500 0.2500 0.7500
Mo 0.2500 0.7500 0.2500
Mo 0.2500 0.7500 0.7500
Mo 0.7500 0.2500 0.2500
Mo 0.7500 0.2500 0.7500
Mo 0.7500 0.7500 0.2500
Mo 0.7500 0.7500 0.7500

Calculated values
The energy of formation from the pure elements comes out at 0.319 eV per atom. As for the total moment: 0.00 μB per atom.

***

Compound: KZn2Si
Source: the Alexandria database
Functional: GGA-PBE
Structure: relaxed

Lattice parameters (Å, degrees): 8.2447 2.9077 7.5032 90.00 95.38 90.00
Fractional coordinates of all 8 atoms:
K 0.0000 0.0000 0.0000
K 0.5000 0.5000 0.0000
Zn 0.2349 0.0000 0.6613
Zn 0.4943 0.0000 0.4775
Zn 0.7349 0.5000 0.6613
Zn 0.9943 0.5000 0.4775
Si 0.2575 0.5000 0.3329
Si 0.7575 0.0000 0.3329

Calculated values
As for the energy relative to the elements, uncorrected: 0.21 eV per atom. As for the total moment: 0.00 μB per atom.

***

Compound: Si2As
Source: the Alexandria database
Functional: GGA-PBE
Structure: relaxed

Lattice parameters (Å, degrees): 4.6132 4.6132 5.3977 90.00 90.00 120.00
Fractional coordinates of all 6 atoms:
Si 0.0000 0.0000 0.0000
Si 0.0000 0.0000 0.5000
Si 0.3333 0.6667 0.2500
Si 0.6667 0.3333 0.7500
As 0.3333 0.6667 0.7500
As 0.6667 0.3333 0.2500

Calculated values
As for the energy relative to the elements, uncorrected: 0.55 eV per atom. As for the total moment: 0.00 μB per atom.